A plane-wave DFT calculation with PBE was carried out for a relaxed TmCuCO4 crystal.

Geometry as POSCAR:
```
TmCuCO4
1.0
-2.040 4.379 -2.279
-5.839 0.734 0.378
-0.536 4.781 3.409
O Cu C Tm
8 2 2 2
Direct
0.256 0.757 0.257
0.744 0.243 0.743
0.294 0.299 0.113
0.294 0.613 0.799
0.271 0.243 0.743
0.706 0.701 0.887
0.706 0.387 0.201
0.729 0.757 0.257
0.500 0.000 0.500
0.000 0.000 0.500
0.623 0.627 0.127
0.377 0.373 0.873
0.000 0.500 0.500
0.000 0.000 0.000
```

## Properties
Its total energy is -7.04 eV per atom. As for the space group: Imma. The value obtained for the total magnetization is 0.0 Bohr magnetons per cell. The calculation puts the calculated volume at 10.540 A^3/atom.